The following is a DFT calculation (PBE) of a relaxed Dy12Ru3C5 crystal.

Cell lengths 15.3409, 15.3409, 15.3409 Å; angles 90.00, 90.00, 90.00 degrees
Last column: nearest neighbours and their distance in Å.
Space group Ia-3d (No. 230)
Inequivalent atoms, fractional coordinates:
Dy 0.0261 0.0554 0.6527  2 C 2.29-2.52
Ru 0.0000 0.2500 0.1250  8 Dy 2.89-3.04
C 0.0000 0.0000 0.0000  6 Dy 2.52
C 0.0000 0.2500 0.3750  4 Dy 2.29

Values from the calculation:
DFT formation energy: -0.14 eV per atom
Size of the total moment: 0.0 μB/cell
Final energy: -6.5936 eV/atom



The following is a DFT calculation (PBE) of a relaxed LiLaF3 crystal.

Cell lengths 3.9190, 3.9190, 3.9190 Å; angles 90.00, 90.00, 90.00 degrees
Last column: nearest neighbours and their distance in Å.
Space group Pm-3m (No. 221)
Inequivalent atoms, fractional coordinates:
Li 0.0000 0.0000 0.0000  6 F 1.96
La 0.5000 0.5000 0.5000  12 F 2.77
F 0.0000 0.0000 0.5000  2 Li 1.96

Values from the calculation:
Size of the total moment: 0.0 μB/cell
Raw formation energy: -3146 meV per atom
Final energy: -5.6373 eV/atom



The following is a DFT calculation (PBE) of a relaxed Mg3TlRh4 crystal.

Cell lengths 4.4826, 4.4826, 21.9723 Å; angles 90.00, 90.00, 120.00 degrees
Last column: nearest neighbours and their distance in Å.
Space group R-3m (No. 166, hexagonal axes)
Inequivalent atoms, fractional coordinates:
Mg 0.0000 0.0000 0.0000  8 Rh 2.70-2.74
Mg 0.0000 0.0000 0.2520  8 Rh 2.68-2.83
Tl 0.0000 0.0000 0.5000  8 Rh 2.76-2.77
Rh 0.0000 0.0000 0.1231  5 Mg 2.70-2.83, 3 Tl 2.76
Rh 0.0000 0.0000 0.3739  7 Mg 2.68-2.74, 1 Tl 2.77

Values from the calculation:
DFT formation energy: -0.37 eV per atom
Size of the total moment: 0.0 μB/cell
Final energy: -4.9388 eV/atom



The following is a DFT calculation (PBE) of a relaxed La2AgMo crystal.

Cell lengths 11.5018, 3.1779, 5.6090 Å; angles 90.00, 102.84, 90.00 degrees
Last column: nearest neighbours and their distance in Å.
Space group Cm (No. 8)
Inequivalent atoms, fractional coordinates:
La 0.0000 0.0000 0.0000  3 Ag 3.09-3.34, 3 La 3.18-3.40, 4 Mo 3.20-3.38
La 0.1952 0.0000 0.6241  3 Mo 3.09-3.25, 3 La 3.18-3.40, 4 Ag 3.25-3.36
Ag 0.2612 0.5000 0.1659  2 Mo 2.92, 3 La 3.09-3.25, 2 Ag 3.18
Mo 0.4426 0.0000 0.4925  2 Ag 2.92, 5 La 3.09-3.25, 2 Mo 3.18

Values from the calculation:
DFT formation energy: 0.29 eV per atom
Size of the total moment: 0.0 μB/cell
Final energy: -5.5900 eV/atom



The following is a DFT calculation (PBE) of a relaxed Pu3SnRu4 crystal.

Cell lengths 4.6986, 4.6986, 13.5636 Å; angles 90.00, 90.00, 90.00 degrees
Last column: nearest neighbours and their distance in Å.
Space group I4/mmm (No. 139)
Inequivalent atoms, fractional coordinates:
Pu 0.0000 0.0000 0.0000  8 Ru 2.88
Pu 0.0000 0.0000 0.2568  8 Ru 2.86-2.97
Sn 0.0000 0.0000 0.5000  8 Ru 2.88
Ru 0.0000 0.5000 0.1229  6 Pu 2.86-2.97, 2 Sn 2.88

Values from the calculation:
DFT formation energy: -0.18 eV per atom
Size of the total moment: 26.2 μB/cell
Final energy: -10.6909 eV/atom